Material: SrFe2Ni
Method: DFT, PBE
State: relaxed

Structure (extended XYZ):
```
8
Lattice="-4.420 -0.344 -1.405 1.443 -0.717 -4.363 -1.302 -8.569 -1.502" Properties=species:S:1:pos:R:3 pbc="T T T"
Fe -1.081 -2.719 -3.629
Sr -3.605 -4.722 -2.896
Sr 0.000 0.000 0.000
Ni -0.673 -4.908 -4.375
Fe -3.942 -7.176 -5.084
Ni -1.488 -0.531 -2.884
Fe -1.732 -7.004 -4.380
Fe -1.803 -2.361 -1.448
```

* crystal system: tetragonal
* calculated total energy: -22.18 eV per formula unit
* calculated volume: 176.5 Å³/cell